1.
Here is crystalline HoGa2Co3 at its relaxed geometry from OQMD via LeMat-Bulk. Energies are from PBE.

The structure in POSCAR format:
```
HoGa2Co3
1.0
-3.002 -7.753 3.266
7.848 0.324 -4.252
1.773 0.715 3.328
Ga Co Ho
6 9 3
direct
0.316 0.000 0.500
0.316 0.316 0.500
0.000 0.316 0.500
0.000 0.684 0.500
0.684 0.000 0.500
0.684 0.684 0.500
0.500 0.500 0.000
0.818 0.182 0.000
0.000 0.500 0.000
0.635 0.818 0.000
0.182 0.818 0.000
0.365 0.182 0.000
0.818 0.635 0.000
0.500 0.000 0.000
0.182 0.365 0.000
0.333 0.667 0.500
0.000 0.000 0.000
0.667 0.333 0.500
```

V   265 Å³ per cell
M_tot   0.87 μB per formula unit
Total energy   -5.703 eV/atom
Space-group type   Cmmm

***

2.
Here is crystalline HoMgCuSe3 at its relaxed geometry from OQMD via LeMat-Bulk. Energies are from PBE.

The structure in POSCAR format:
```
HoMgCuSe3
1.0
-3.425 1.717 -0.891
-5.198 -6.375 7.695
1.957 8.050 7.991
Se Cu Mg Ho
12 4 4 4
direct
0.750 0.602 0.067
0.750 0.102 0.433
0.750 0.287 0.664
0.250 0.052 0.875
0.250 0.213 0.164
0.250 0.398 0.933
0.250 0.898 0.567
0.750 0.948 0.125
0.750 0.448 0.375
0.750 0.787 0.836
0.250 0.552 0.625
0.250 0.713 0.336
0.250 0.745 0.713
0.750 0.255 0.287
0.250 0.245 0.787
0.750 0.755 0.213
0.750 0.684 0.507
0.250 0.816 0.007
0.750 0.184 0.993
0.250 0.316 0.493
0.250 0.974 0.310
0.250 0.474 0.190
0.750 0.026 0.690
0.750 0.526 0.810
```

V   510 Å³ per cell
M_tot   0.00 μB per formula unit
Space-group type   Pnma
Distance to the lowest polymorph of the same formula   43 meV/atom

***

3.
Here is crystalline Cu2As9P3S9I2 at its relaxed geometry from OQMD via LeMat-Bulk. Energies are from PBE.

The structure in POSCAR format:
```
Cu2As9P3S9I2
1.0
-11.320 5.255 -0.738
-1.447 -1.168 13.878
7.523 14.466 2.002
S As P Cu I
36 36 12 8 8
direct
0.137 0.550 0.061
0.871 0.408 0.434
0.370 0.851 0.007
0.628 0.396 0.012
0.372 0.604 0.988
0.129 0.908 0.066
0.863 0.450 0.939
0.635 0.974 0.348
0.097 0.905 0.310
0.004 0.276 0.588
0.134 0.680 0.254
0.097 0.595 0.810
0.004 0.224 0.088
0.630 0.351 0.493
0.350 0.515 0.667
0.370 0.649 0.507
0.372 0.896 0.488
0.365 0.474 0.152
0.365 0.026 0.652
0.996 0.776 0.912
0.628 0.104 0.512
0.350 0.985 0.167
0.903 0.405 0.190
0.630 0.149 0.993
0.134 0.820 0.754
0.863 0.050 0.439
0.996 0.724 0.412
0.866 0.180 0.246
0.129 0.592 0.566
0.866 0.320 0.746
0.650 0.485 0.333
0.650 0.015 0.833
0.137 0.950 0.561
0.635 0.526 0.848
0.871 0.092 0.934
0.903 0.095 0.690
0.865 0.756 0.811
0.333 0.403 0.567
0.347 0.505 0.441
0.660 0.957 0.573
0.971 0.788 0.688
0.971 0.712 0.188
0.667 0.903 0.933
0.347 0.995 0.941
0.865 0.744 0.311
0.135 0.256 0.689
0.662 0.859 0.445
0.029 0.288 0.812
0.667 0.597 0.433
0.333 0.097 0.067
0.834 0.961 0.010
0.166 0.039 0.990
0.834 0.539 0.510
0.653 0.005 0.059
0.338 0.359 0.055
0.166 0.461 0.490
0.165 0.416 0.986
0.338 0.141 0.555
0.660 0.543 0.073
0.029 0.212 0.312
0.058 0.120 0.765
0.653 0.495 0.559
0.165 0.084 0.486
0.835 0.916 0.514
0.058 0.380 0.265
0.662 0.641 0.945
0.942 0.880 0.235
0.340 0.457 0.927
0.340 0.043 0.427
0.135 0.244 0.189
0.942 0.620 0.735
0.835 0.584 0.014
0.720 0.136 0.887
0.292 0.906 0.599
0.137 0.770 0.359
0.720 0.364 0.387
0.708 0.094 0.401
0.863 0.270 0.141
0.137 0.730 0.859
0.280 0.864 0.113
0.708 0.406 0.901
0.863 0.230 0.641
0.280 0.636 0.613
0.292 0.594 0.099
0.698 0.236 0.582
0.282 0.724 0.182
0.698 0.264 0.082
0.302 0.764 0.418
0.718 0.224 0.318
0.302 0.736 0.918
0.718 0.276 0.818
0.282 0.776 0.682
0.279 0.277 0.379
0.721 0.777 0.121
0.279 0.223 0.879
0.433 0.765 0.798
0.567 0.235 0.202
0.721 0.723 0.621
0.433 0.735 0.298
0.567 0.265 0.702
```

V   2872 Å³ per cell
Total energy   -4.415 eV/atom
Space-group type   P2_1/c

***

4.
Here is crystalline NbInO3 at its relaxed geometry from OQMD via LeMat-Bulk. Energies are from PBE.

The structure in POSCAR format:
```
NbInO3
1.0
3.597 0.000 0.000
0.000 7.998 0.000
-1.443 0.000 4.204
O In Nb
6 2 2
direct
0.139 0.250 0.313
0.500 0.000 0.000
0.858 0.250 0.695
0.500 0.500 0.000
0.861 0.750 0.687
0.142 0.750 0.305
0.505 0.750 0.998
0.495 0.250 0.002
0.000 0.000 0.500
0.000 0.500 0.500
```

V   121 Å³ per cell
M_tot   1.75 μB per formula unit
Total energy   -6.630 eV/atom
Space-group type   P2_1/m

***

Q: The lowest V belongs to which entry?
A: NbInO3

***

Q: V of number 1 (HoGa2Co3)?
A: 265 Å³ per cell